VASP calculation (PBE) on a relaxed structure of Re2TeRhO.

a b c (Å): 4.8862 4.8862 3.6986
angles (deg): 90.00 90.00 90.00
Space group P4/mmm (No. 123)
Asymmetric unit:
Re: 0.0000 0.5000 0.0000 x2
Te: 0.0000 0.0000 0.5000 x1
Rh: 0.5000 0.5000 0.0000 x1
O: 0.5000 0.5000 0.5000 x1

Values from the calculation:
N(E_F) = 7.532 states/eV per cell
E = -6.726 eV/atom
E_form (uncorrected) = 1.34 eV/atom
magnetic moment = 0.00 μB/f.u.

=====

VASP calculation (PBE) on a relaxed structure of Np2Be2Si3.

a b c (Å): 4.0872 17.3617 6.3605
angles (deg): 90.00 90.00 90.00
Space group Cmcm (No. 63)
Asymmetric unit:
Np: 0.0000 0.0476 0.2500 x4
Np: 0.0000 0.1661 0.7500 x4
Be: 0.0000 0.3229 0.5813 x8
Si: 0.0000 0.2145 0.2500 x4
Si: 0.0000 0.4364 0.0669 x8

Values from the calculation:
N(E_F) = 39.384 states/eV per cell
E = -7.246 eV/atom
E_form (uncorrected) = -0.16 eV/atom
magnetic moment = 7.77 μB/f.u.